Record 1
The following is a DFT calculation (PBE) of a relaxed Th2CdCu crystal.

abc: 4.8426 4.8426 4.3394
angles: 90.00 90.00 90.00
Element x y z (fractional)
Th  0.0000  0.5000  0.0000
Th  0.5000  0.0000  0.0000
Cd  0.0000  0.0000  0.5000
Cu  0.5000  0.5000  0.5000

Summary:
* M_tot: 0.0 μB per cell
* calculated density: 10.4 g/cm3
* formation energy from the elements: 13 meV/atom
* DFT total energy: -4.9500 eV per atom
* energy relative to the lowest polymorph listed for this composition: 0.0877 eV per atom

Record 2
The following is a DFT calculation (PBE) of a relaxed Cs6Au2ClF crystal.

abc: 9.3662 9.3662 9.3662
angles: 54.96 54.96 54.96
Element x y z (fractional)
Cs  0.0120  0.3838  0.6043
Cs  0.1310  0.9116  0.4836
Cs  0.3838  0.6043  0.0120
Cs  0.4836  0.1310  0.9116
Cs  0.6043  0.0120  0.3838
Cs  0.9116  0.4836  0.1310
Au  0.0614  0.0614  0.0614
Au  0.5642  0.5642  0.5642
Cl  0.7590  0.7590  0.7590
F  0.2573  0.2573  0.2573

Summary:
* M_tot: 0.8 μB per cell
* calculated density: 4.0 g/cm3
* uncorrected formation energy: -0.9963 eV per atom
* DFT total energy: -2.5357 eV per atom

Record 3
The following is a DFT calculation (PBE) of a relaxed TaPPtRhAuI crystal.

abc: 4.3685 5.3466 6.2493
angles: 97.12 106.11 112.40
Element x y z (fractional)
Ta  0.0000  0.0000  0.0000
P  0.9984  0.7525  0.3041
Pt  0.3005  0.8818  0.7065
Rh  0.6903  0.2710  0.1477
Au  0.3574  0.6318  0.0969
I  0.7526  0.3234  0.6054

Summary:
* M_tot: 0.0 μB per cell
* calculated density: 11.1 g/cm3
* uncorrected formation energy: -0.0154 eV per atom
* DFT total energy: -5.9291 eV per atom
* energy relative to the lowest polymorph listed for this composition: 0.1616 eV per atom

Record 4
The following is a DFT calculation (PBE) of a relaxed BeAl2Mo crystal.

abc: 9.0323 2.6854 4.7048
angles: 90.00 97.31 90.00
Element x y z (fractional)
Be  0.0000  0.0000  0.0000
Be  0.5000  0.5000  0.0000
Al  0.2480  0.0000  0.7529
Al  0.2520  0.5000  0.2471
Al  0.7480  0.5000  0.7529
Al  0.7520  0.0000  0.2471
Mo  0.0000  0.5000  0.5000
Mo  0.5000  0.0000  0.5000

Summary:
* M_tot: 0.0 μB per cell
* calculated density: 4.7 g/cm3
* formation energy from the elements: 45 meV/atom
* DFT total energy: -5.4660 eV per atom

Record 5
The following is a DFT calculation (PBE) of a relaxed MgGeI3 crystal.

abc: 5.8350 5.8350 5.8350
angles: 90.00 90.00 90.00
Element x y z (fractional)
Mg  0.0000  0.0000  0.0000
Ge  0.5000  0.5000  0.5000
I  0.0000  0.5000  0.5000
I  0.5000  0.0000  0.5000
I  0.5000  0.5000  0.0000

Summary:
* M_tot: 1.0 μB per cell
* calculated density: 4.0 g/cm3
* uncorrected formation energy: -0.0768 eV per atom
* DFT total energy: -2.2493 eV per atom
* energy relative to the lowest polymorph listed for this composition: 0.0319 eV per atom

Record 6
The following is a DFT calculation (PBE) of a relaxed Ac2MgTeO6 crystal.

abc: 5.8547 8.3034 6.0474
angles: 90.00 90.00 90.00
Element x y z (fractional)
Ac  0.2500  0.0178  0.2207
Ac  0.2500  0.4822  0.2207
Ac  0.7500  0.5178  0.7793
Ac  0.7500  0.9822  0.7793
Mg  0.2500  0.7500  0.7612
Mg  0.7500  0.2500  0.2388
Te  0.2500  0.2500  0.7344
Te  0.7500  0.7500  0.2656
O  0.0021  0.2500  0.9911
O  0.0089  0.2500  0.4564
O  0.2500  0.5050  0.8016
O  0.2500  0.9950  0.8016
O  0.4911  0.2500  0.4564
O  0.4979  0.2500  0.9911
O  0.5021  0.7500  0.0089
O  0.5089  0.7500  0.5436
O  0.7500  0.0050  0.1984
O  0.7500  0.4950  0.1984
O  0.9911  0.7500  0.5436
O  0.9979  0.7500  0.0089

Summary:
* M_tot: 0.0 μB per cell
* calculated density: 7.9 g/cm3
* uncorrected formation energy: -2.3913 eV per atom
* DFT total energy: -6.6615 eV per atom

Record 7
The following is a DFT calculation (PBE) of a relaxed Li2AcTmCd4 crystal.

abc: 9.9458 9.9458 9.9458
angles: 28.82 28.82 28.82
Element x y z (fractional)
Li  0.2362  0.2362  0.2362
Li  0.7638  0.7638  0.7638
Ac  0.0000  0.0000  0.0000
Tm  0.5000  0.5000  0.5000
Cd  0.1221  0.1221  0.1221
Cd  0.3956  0.3956  0.3956
Cd  0.6044  0.6044  0.6044
Cd  0.8779  0.8779  0.8779

Summary:
* M_tot: 0.0 μB per cell
* calculated density: 7.1 g/cm3
* formation energy from the elements: -224 meV/atom
* DFT total energy: -2.2328 eV per atom

Record 8
The following is a DFT calculation (PBE) of a relaxed CeTm3Pd12 crystal.

abc: 4.1102 4.1102 16.3803
angles: 90.00 90.00 90.00
Element x y z (fractional)
Ce  0.0000  0.0000  0.0000
Tm  0.0000  0.0000  0.2533
Tm  0.0000  0.0000  0.5000
Tm  0.0000  0.0000  0.7467
Pd  0.0000  0.5000  0.1250
Pd  0.0000  0.5000  0.3752
Pd  0.0000  0.5000  0.6248
Pd  0.0000  0.5000  0.8750
Pd  0.5000  0.0000  0.1250
Pd  0.5000  0.0000  0.3752
Pd  0.5000  0.0000  0.6248
Pd  0.5000  0.0000  0.8750
Pd  0.5000  0.5000  0.0000
Pd  0.5000  0.5000  0.2503
Pd  0.5000  0.5000  0.5000
Pd  0.5000  0.5000  0.7497

Summary:
* M_tot: 0.0 μB per cell
* calculated density: 11.5 g/cm3
* formation energy from the elements: -906 meV/atom
* DFT total energy: -6.0100 eV per atom

Record 9
The following is a DFT calculation (PBE) of a relaxed Er2AlFe crystal.

abc: 3.3978 3.3978 7.0592
angles: 90.00 90.00 90.00
Element x y z (fractional)
Er  0.0000  0.0000  0.2232
Er  0.0000  0.0000  0.7768
Al  0.5000  0.5000  0.5000
Fe  0.5000  0.5000  0.0000

Summary:
* M_tot: 0.0 μB per cell
* calculated density: 8.5 g/cm3
* formation energy from the elements: -158 meV/atom
* DFT total energy: -5.4905 eV per atom